1.
Density functional theory data (PBE with a Hubbard U) for MnNF3 after structural relaxation.

Cell: 3.9781 3.9781 3.9781 Å, 90.00 90.00 90.00°
Fractional coordinates of all 5 atoms:
1 F 0.5000 0.0000 0.0000
2 F 0.0000 0.0000 0.5000
3 Mn 0.0000 0.0000 0.0000
4 N 0.5000 0.5000 0.5000
5 F 0.0000 0.5000 0.0000

polymorph energy (0 for the lowest one)	38	meV per atom
spin magnetization	1.175	μB per cell
D(E_F)	4.73	states/eV/f.u.

---

2.
Density functional theory data (PBE with a Hubbard U) for NaMnN2F after structural relaxation.

Cell: 3.6073 3.6073 4.2674 Å, 90.00 90.00 90.00°
Fractional coordinates of all 5 atoms:
1 N 0.0000 0.5000 0.0000
2 Na 0.5000 0.5000 0.5000
3 Mn 0.0000 0.0000 0.0000
4 F 0.0000 0.0000 0.5000
5 N 0.5000 0.0000 0.0000

polymorph energy (0 for the lowest one)	0	meV per atom
spin magnetization	0.303	μB per cell
D(E_F)	2.12	states/eV/f.u.

---

3.
Density functional theory data (PBE with a Hubbard U) for NaMnN2F after structural relaxation.

Cell: 4.2659 4.2659 3.9455 Å, 90.00 90.00 90.00°
Fractional coordinates of all 5 atoms:
1 N 0.5000 0.0000 0.0000
2 F 0.0000 0.0000 0.5000
3 Na 0.0000 0.0000 0.0000
4 N 0.0000 0.5000 0.0000
5 Mn 0.5000 0.5000 0.5000

polymorph energy (0 for the lowest one)	1023	meV per atom
spin magnetization	3.804	μB per cell
D(E_F)	2.14	states/eV/f.u.

---

4.
Density functional theory data (PBE with a Hubbard U) for MnNbNF2 after structural relaxation.

Cell: 4.2843 4.2843 4.0696 Å, 90.00 90.00 90.00°
Fractional coordinates of all 5 atoms:
1 F 0.0000 0.5000 0.0000
2 Nb 0.0000 0.0000 0.0000
3 Mn 0.5000 0.5000 0.5000
4 N 0.0000 0.0000 0.5000
5 F 0.5000 0.0000 0.0000

polymorph energy (0 for the lowest one)	0	meV per atom
spin magnetization	6.633	μB per cell
D(E_F)	1.56	states/eV/f.u.

---

5.
Density functional theory data (PBE with a Hubbard U) for MnNbNF2 after structural relaxation.

Cell: 3.8363 3.8363 4.4935 Å, 90.00 90.00 90.00°
Fractional coordinates of all 5 atoms:
1 Nb 0.5000 0.5000 0.5000
2 N 0.0000 0.0000 0.5000
3 F 0.0000 0.5000 0.0000
4 Mn 0.0000 0.0000 0.0000
5 F 0.5000 0.0000 0.0000

polymorph energy (0 for the lowest one)	485	meV per atom
spin magnetization	6.980	μB per cell
D(E_F)	3.75	states/eV/f.u.

---

6.
Density functional theory data (PBE with a Hubbard U) for MnNiN2F after structural relaxation.

Cell: 3.7316 3.7316 3.8785 Å, 90.00 90.00 90.00°
Fractional coordinates of all 5 atoms:
1 Ni 0.0000 0.0000 0.0000
2 F 0.0000 0.0000 0.5000
3 N 0.5000 0.0000 0.0000
4 Mn 0.5000 0.5000 0.5000
5 N 0.0000 0.5000 0.0000

polymorph energy (0 for the lowest one)	0	meV per atom
spin magnetization	3.741	μB per cell
D(E_F)	1.76	states/eV/f.u.

---

7.
Density functional theory data (PBE with a Hubbard U) for MnNiNF2 after structural relaxation.

Cell: 3.7889 3.7889 4.1360 Å, 90.00 90.00 90.00°
Fractional coordinates of all 5 atoms:
1 Ni 0.0000 0.0000 0.0000
2 N 0.0000 0.0000 0.5000
3 F 0.0000 0.5000 0.0000
4 F 0.5000 0.0000 0.0000
5 Mn 0.5000 0.5000 0.5000

polymorph energy (0 for the lowest one)	0	meV per atom
spin magnetization	6.000	μB per cell
D(E_F)	1.24	states/eV/f.u.

---

8.
Density functional theory data (PBE with a Hubbard U) for MnNiNF2 after structural relaxation.

Cell: 4.0629 4.0629 3.8031 Å, 90.00 90.00 90.00°
Fractional coordinates of all 5 atoms:
1 N 0.0000 0.0000 0.5000
2 F 0.0000 0.5000 0.0000
3 Ni 0.5000 0.5000 0.5000
4 F 0.5000 0.0000 0.0000
5 Mn 0.0000 0.0000 0.0000

polymorph energy (0 for the lowest one)	148	meV per atom
spin magnetization	3.999	μB per cell
D(E_F)	1.17	states/eV/f.u.

---

9.
Density functional theory data (PBE with a Hubbard U) for MnNiN2F after structural relaxation.

Cell: 3.6281 3.6281 3.8681 Å, 90.00 90.00 90.00°
Fractional coordinates of all 5 atoms:
1 F 0.0000 0.0000 0.5000
2 N 0.5000 0.0000 0.0000
3 N 0.0000 0.5000 0.0000
4 Mn 0.0000 0.0000 0.0000
5 Ni 0.5000 0.5000 0.5000

polymorph energy (0 for the lowest one)	66	meV per atom
spin magnetization	0.000	μB per cell
D(E_F)	3.40	states/eV/f.u.

---

10.
Density functional theory data (PBE with a Hubbard U) for MnN2OF after structural relaxation.

Cell: 3.8506 3.8506 3.7184 Å, 90.00 90.00 90.00°
Fractional coordinates of all 5 atoms:
1 N 0.5000 0.0000 0.0000
2 N 0.0000 0.5000 0.0000
3 Mn 0.0000 0.0000 0.0000
4 O 0.0000 0.0000 0.5000
5 F 0.5000 0.5000 0.5000

spin magnetization	1.997	μB per cell
D(E_F)	2.20	states/eV/f.u.
VASP energy	-26.14	eV/cell

---

11.
Density functional theory data (PBE with a Hubbard U) for MnN2OF after structural relaxation.

Cell: 3.5417 3.5417 3.6762 Å, 90.00 90.00 90.00°
Fractional coordinates of all 5 atoms:
1 O 0.0000 0.0000 0.0000
2 F 0.0000 0.0000 0.5000
3 Mn 0.5000 0.5000 0.5000
4 N 0.0000 0.5000 0.0000
5 N 0.5000 0.0000 0.0000

spin magnetization	0.744	μB per cell
D(E_F)	2.42	states/eV/f.u.
VASP energy	-20.31	eV/cell

---

12.
Density functional theory data (PBE with a Hubbard U) for MnN2OF after structural relaxation.

Cell: 3.5357 3.5357 4.4693 Å, 90.00 90.00 90.00°
Fractional coordinates of all 5 atoms:
1 Mn 0.5000 0.5000 0.5000
2 F 0.0000 0.0000 0.0000
3 O 0.0000 0.0000 0.5000
4 N 0.5000 0.0000 0.0000
5 N 0.0000 0.5000 0.0000

spin magnetization	3.134	μB per cell
D(E_F)	2.31	states/eV/f.u.
VASP energy	-22.03	eV/cell

---

Copy entry 5 word for word.
Density functional theory data (PBE with a Hubbard U) for MnNbNF2 after structural relaxation.

Cell: 3.8363 3.8363 4.4935 Å, 90.00 90.00 90.00°
Fractional coordinates of all 5 atoms:
1 Nb 0.5000 0.5000 0.5000
2 N 0.0000 0.0000 0.5000
3 F 0.0000 0.5000 0.0000
4 Mn 0.0000 0.0000 0.0000
5 F 0.5000 0.0000 0.0000

polymorph energy (0 for the lowest one)	485	meV per atom
spin magnetization	6.980	μB per cell
D(E_F)	3.75	states/eV/f.u.

---

spin magnetization of number 10 (MnN2OF)? 1.997 μB per cell